Entry 1:
4
Lattice="1.721 -1.974 4.395 2.353 3.005 3.406 -2.315 1.169 4.410" Properties=species:S:1:pos:R:3 comment="BaYBeAu PBE relaxed" total_energy_ev_per_atom=-3.607 polymorph_energy_mev_per_atom=238 pbc="T T T"
Y 0.440 0.550 3.053
Au 1.319 1.650 9.158
Be 0.880 1.100 6.105
Ba 0.000 0.000 0.000

---

Entry 2:
4
Lattice="-4.839 -1.188 -0.928 -3.601 1.243 3.343 -3.337 3.650 -1.110" Properties=species:S:1:pos:R:3 comment="BaYBeAu PBE relaxed" total_energy_ev_per_atom=-3.705 polymorph_energy_mev_per_atom=140 pbc="T T T"
Y 0.000 0.000 0.000
Be -5.889 1.852 0.653
Au -8.833 2.779 0.979
Ba -2.944 0.926 0.326

---

Entry 3:
4
Lattice="-0.975 2.506 4.928 -0.079 5.603 0.333 -4.849 2.692 0.869" Properties=species:S:1:pos:R:3 comment="BaBi2Au PBE relaxed" total_energy_ev_per_atom=-3.678 pbc="T T T"
Bi 0.000 0.000 0.000
Bi -4.427 8.101 4.597
Au -1.476 2.700 1.532
Ba -2.952 5.400 3.065

---

Entry 4:
4
Lattice="4.818 -2.136 2.357 -0.329 -3.443 4.622 1.210 -5.623 -0.498" Properties=species:S:1:pos:R:3 comment="Ba2BiAu PBE relaxed" total_energy_ev_per_atom=-3.215 pbc="T T T"
Au 1.425 -2.800 1.620
Bi 2.849 -5.601 3.241
Ba 4.274 -8.401 4.861
Ba 0.000 0.000 0.000

---

Entry 5:
4
Lattice="-3.233 -2.220 4.017 -2.433 3.333 3.806 -5.556 0.796 -0.109" Properties=species:S:1:pos:R:3 comment="BaBi2Au PBE relaxed" total_energy_ev_per_atom=-3.678 pbc="T T T"
Au -5.611 0.955 3.857
Bi -8.416 1.432 5.786
Bi 0.000 0.000 0.000
Ba -2.805 0.477 1.929

---

Entry 6:
5
Lattice="-2.391 2.391 6.488 2.391 -2.391 6.488 2.391 2.391 -6.488" Properties=species:S:1:pos:R:3 comment="BaBi2Au2 PBE relaxed" total_energy_ev_per_atom=-3.825 pbc="T T T"
Au 0.000 0.000 7.836
Au 0.000 0.000 5.140
Bi 2.391 0.000 3.244
Bi 0.000 2.391 3.244
Ba 0.000 0.000 0.000

---

Entry 7:
14
Lattice="-5.939 -11.786 0.970 -3.224 -10.777 6.312 -5.866 1.111 1.134" Properties=species:S:1:pos:R:3 comment="BaBi4Au2 PBE relaxed" total_energy_ev_per_atom=-3.713 pbc="T T T"
Bi -9.529 -14.791 6.150
Bi -7.134 -6.641 1.464
Bi -8.428 -9.397 2.743
Bi -6.177 -12.340 4.802
Bi -9.257 -12.023 4.369
Bi -6.743 -15.586 4.583
Bi -6.652 -5.885 4.634
Bi -6.195 -9.144 4.916
Ba 0.000 0.000 0.000
Ba -3.757 -5.363 2.104
Au -4.224 -8.714 2.974
Au -6.332 -2.240 2.004
Au -8.696 -19.211 6.411
Au -3.290 -2.011 1.233

---

Entry 8:
16
Lattice="8.358 0.000 0.000 0.000 8.508 0.000 0.000 0.000 8.358" Properties=species:S:1:pos:R:3 comment="Ba2BiAu PBE relaxed" total_energy_ev_per_atom=-3.584 pbc="T T T"
Bi 0.000 6.381 0.000
Bi 0.000 2.127 0.000
Bi 4.178 2.127 4.179
Bi 4.180 6.381 4.179
Ba 2.089 4.255 2.089
Ba 6.268 0.000 2.089
Ba 6.268 0.000 6.268
Ba 6.268 4.254 6.268
Ba 2.089 0.000 2.089
Ba 6.268 4.254 2.089
Ba 2.090 4.255 6.268
Ba 2.090 0.000 6.268
Au 8.357 2.127 4.179
Au 4.178 6.381 0.000
Au 0.001 6.381 4.179
Au 4.180 2.127 0.000

---

Entry 9:
4
Lattice="5.826 0.000 0.000 0.000 5.826 0.000 0.000 0.000 4.284" Properties=species:S:1:pos:R:3 comment="Ba2BiAu PBE relaxed" total_energy_ev_per_atom=-3.580 pbc="T T T"
Au 0.000 0.000 0.000
Bi 2.913 2.913 0.000
Ba 0.000 2.913 2.142
Ba 2.913 0.000 2.142

---

Entry 10:
6
Lattice="-3.722 -1.816 2.788 4.686 -1.529 0.791 1.228 6.955 6.169" Properties=species:S:1:pos:R:3 comment="Ba2LiBi2Au PBE relaxed" total_energy_ev_per_atom=-3.674 pbc="T T T"
Bi -0.919 -1.720 2.122
Bi 0.614 3.478 3.084
Ba 2.190 0.112 2.996
Ba 2.805 3.595 6.086
Li -0.305 1.758 5.207
Au 0.000 0.000 0.000

---

Entry 11:
4
Lattice="0.000 3.746 3.746 3.746 0.000 3.746 3.746 3.746 0.000" Properties=species:S:1:pos:R:3 comment="BaNiBiAu PBE relaxed" total_energy_ev_per_atom=-3.622 polymorph_energy_mev_per_atom=160 pbc="T T T"
Ba 0.000 0.000 0.000
Ni 3.746 3.746 3.746
Bi 1.873 1.873 1.873
Au 5.619 5.619 5.619

---

Entry 12:
4
Lattice="0.000 3.713 3.713 3.713 0.000 3.713 3.713 3.713 0.000" Properties=species:S:1:pos:R:3 comment="BaNiBiAu PBE relaxed" total_energy_ev_per_atom=-3.539 polymorph_energy_mev_per_atom=243 pbc="T T T"
Bi 0.000 0.000 0.000
Ba 1.856 1.856 1.856
Ni 3.713 3.713 3.713
Au 5.569 5.569 5.569

---

Entry 13:
4
Lattice="0.000 3.710 3.710 3.710 0.000 3.710 3.710 3.710 0.000" Properties=species:S:1:pos:R:3 comment="BaNiBiAu PBE relaxed" total_energy_ev_per_atom=-3.782 polymorph_energy_mev_per_atom=0 pbc="T T T"
Bi 0.000 0.000 0.000
Ba 3.710 3.710 3.710
Ni 1.855 1.855 1.855
Au 5.565 5.565 5.565

---

Entry 14:
10
Lattice="4.863 0.000 0.000 0.000 4.678 0.000 -0.060 0.000 11.340" Properties=species:S:1:pos:R:3 comment="BaBiPAu2 PBE relaxed" total_energy_ev_per_atom=-4.098 pbc="T T T"
Au 3.435 1.170 11.243
Au 1.368 3.509 0.096
Au 1.241 1.170 3.689
Au 3.562 3.509 7.651
P 1.029 1.170 1.267
P 3.774 3.509 10.073
Ba 1.119 1.170 8.855
Ba 3.684 3.509 2.485
Bi 1.179 3.509 5.674
Bi 3.624 1.170 5.666

---

Entry 15:
4
Lattice="2.348 1.784 4.415 -1.385 -1.979 4.728 3.370 -3.122 2.661" Properties=species:S:1:pos:R:3 comment="BaBiPdAu PBE relaxed" total_energy_ev_per_atom=-3.777 polymorph_energy_mev_per_atom=223 pbc="T T T"
Pd 2.167 -1.659 5.902
Bi 0.000 0.000 0.000
Au 3.250 -2.488 8.854
Ba 1.083 -0.829 2.951

---

Entry 16:
4
Lattice="0.000 3.753 3.753 3.753 0.000 3.753 3.753 3.753 0.000" Properties=species:S:1:pos:R:3 comment="BaBiPdAu PBE relaxed" total_energy_ev_per_atom=-3.837 polymorph_energy_mev_per_atom=164 pbc="T T T"
Bi 1.877 1.877 1.877
Ba 0.000 0.000 0.000
Au 5.630 5.630 5.630
Pd 3.753 3.753 3.753

---

Entry 17:
10
Lattice="5.027 0.000 0.000 0.000 4.907 0.000 -0.282 0.000 11.594" Properties=species:S:1:pos:R:3 comment="BaBi2PdAu PBE relaxed" total_energy_ev_per_atom=-4.282 polymorph_energy_mev_per_atom=5 pbc="T T T"
Pd 3.147 1.227 11.568
Pd 1.597 3.680 0.026
Au 3.602 3.680 7.503
Au 1.142 1.227 4.091
Bi 3.647 1.227 5.786
Bi 1.097 3.680 5.807
Bi 3.776 3.680 10.351
Bi 0.968 1.227 1.243
Ba 3.594 3.680 2.746
Ba 1.151 1.227 8.848

---

Entry 18:
10
Lattice="-3.967 2.210 2.275 -2.886 -1.201 -3.865 -2.360 -9.886 4.835" Properties=species:S:1:pos:R:3 comment="BaBi2PdAu PBE relaxed" total_energy_ev_per_atom=-4.287 polymorph_energy_mev_per_atom=0 pbc="T T T"
Au -3.473 1.228 0.613
Au -5.739 -10.106 2.632
Ba -5.654 -1.697 -0.045
Ba -3.558 -7.180 3.290
Pd -2.590 -3.513 1.428
Pd -6.623 -5.364 1.818
Bi -4.876 -3.572 3.153
Bi -4.336 -5.305 0.092
Bi -7.382 -7.699 3.111
Bi -1.830 -1.178 0.135

---

Entry 19:
4
Lattice="-1.395 -4.161 2.982 -1.292 0.704 5.098 -5.038 -0.573 1.563" Properties=species:S:1:pos:R:3 comment="BaBiPdAu PBE relaxed" total_energy_ev_per_atom=-4.001 polymorph_energy_mev_per_atom=0 pbc="T T T"
Ba -3.863 -2.015 4.821
Au -5.794 -3.023 7.232
Bi 0.000 0.000 0.000
Pd -1.931 -1.008 2.411

---

Entry 20:
6
Lattice="4.846 0.000 0.000 -2.423 4.197 0.000 0.000 0.000 9.720" Properties=species:S:1:pos:R:3 comment="Ba2Bi2PdAu PBE relaxed" total_energy_ev_per_atom=-4.172 pbc="T T T"
Au 0.000 0.000 0.000
Pd 2.423 1.399 4.860
Bi 0.000 0.000 4.860
Bi 2.423 1.399 0.000
Ba 0.000 2.798 2.514
Ba 0.000 2.798 7.206